Record 1
ZrIn3Rh | SCAN | single point on PBEsol structure

a b c (Å): 5.3259 5.3259 5.3259
angles (deg): 90.00 90.00 90.00
Last column: nearest neighbours and their distance in Å.
Fractional positions:
Rh: 0.5000 0.5000 0.5000  12 In 3.77
In: 0.5000 0.0000 0.0000  2 Zr 2.66
In: 0.0000 0.0000 0.5000  2 Zr 2.66
In: 0.0000 0.5000 0.0000  2 Zr 2.66
Zr: 0.0000 0.0000 0.0000  6 In 2.66

Values from the calculation:
**Mass density**: 5.92 g cm⁻³
**Calculated formation energy**: 1208 meV per atom
**Symmetry**: Pm-3m (221)
**Raw total energy**: -158.59 eV/cell

---

Record 2
Li2CaPb | SCAN | single point on PBEsol structure

a b c (Å): 5.0899 5.0899 5.0899
angles (deg): 60.00 60.00 60.00
Last column: nearest neighbours and their distance in Å.
Fractional positions:
Ca: 0.2500 0.2500 0.2500  4 Pb 3.12, 4 Li 3.12
Li: 0.7500 0.7500 0.7500  4 Li 3.12, 4 Pb 3.12
Li: 0.0000 0.0000 0.0000  4 Li 3.12, 4 Ca 3.12
Pb: 0.5000 0.5000 0.5000  4 Li 3.12, 4 Ca 3.12

Values from the calculation:
**Mass density**: 4.65 g cm⁻³
**Calculated formation energy**: -492 meV per atom
**Symmetry**: F-43m (216)
**Raw total energy**: -92.19 eV/cell